Entry 1:
# Sr3CdIn6Ga2

A geometry-optimized Sr3CdIn6Ga2 structure (PBE-GGA, Alexandria via LeMat-Bulk).

```
Sr3CdIn6Ga2
1.0
6.267 0.000 0.000
-3.133 5.427 0.000
0.000 0.000 10.762
Sr Cd In Ga
3 1 6 2
Direct
0.000 0.000 0.000
0.333 0.667 0.579
0.667 0.333 0.421
0.000 0.000 0.500
0.168 0.337 0.270
0.168 0.832 0.270
0.337 0.168 0.730
0.663 0.832 0.270
0.832 0.168 0.730
0.832 0.663 0.730
0.333 0.667 0.036
0.667 0.333 0.964
```

Summary:
Energy relative to the elements (eV per atom): -0.159
Space group: No. 164
Volume (Å³/atom): 30.50
Total DFT energy (no corrections) (eV per cell): -30.4

Entry 2:
# Sr2CdIn3Ga4

A geometry-optimized Sr2CdIn3Ga4 structure (PBE-GGA, Alexandria via LeMat-Bulk).

```
Sr2CdIn3Ga4
1.0
4.626 0.000 0.000
0.000 4.626 0.000
0.000 0.000 11.869
Sr Cd In Ga
2 1 3 4
Direct
0.000 0.500 0.248
0.500 0.000 0.752
0.500 0.500 0.000
0.000 0.000 0.000
0.000 0.500 0.635
0.500 0.000 0.365
0.000 0.000 0.500
0.000 0.500 0.862
0.500 0.000 0.138
0.500 0.500 0.500
```

Summary:
Energy relative to the elements (eV per atom): -0.319
Space group: No. 115
Volume (Å³/atom): 25.40
Total DFT energy (no corrections) (eV per cell): -27.8

Entry 3:
# Sr2Cd4InGa3

A geometry-optimized Sr2Cd4InGa3 structure (PBE-GGA, Alexandria via LeMat-Bulk).

```
Sr2Cd4InGa3
1.0
4.682 0.000 0.000
0.000 4.682 0.000
0.000 0.000 11.650
Sr Cd In Ga
2 4 1 3
Direct
0.000 0.500 0.244
0.500 0.000 0.756
0.000 0.000 0.000
0.000 0.500 0.642
0.500 0.000 0.358
0.500 0.500 0.000
0.000 0.000 0.500
0.000 0.500 0.869
0.500 0.000 0.131
0.500 0.500 0.500
```

Summary:
Energy relative to the elements (eV per atom): -0.292
Space group: No. 115
Volume (Å³/atom): 25.54
Total DFT energy (no corrections) (eV per cell): -21.8

Entry 4:
# SrCd2InGa

A geometry-optimized SrCd2InGa structure (PBE-GGA, Alexandria via LeMat-Bulk).

```
SrCd2InGa
1.0
-2.281 2.337 6.105
2.281 -2.337 6.105
2.281 2.337 -6.105
Sr Cd In Ga
1 2 1 1
Direct
0.000 0.000 0.000
0.612 0.612 0.000
0.765 0.265 0.500
0.259 0.759 0.500
0.395 0.395 0.000
```

Summary:
Energy relative to the elements (eV per atom): -0.310
Space group: No. 44
Volume (Å³/atom): 26.04
Total DFT energy (no corrections) (eV per cell): -10.8

Entry 5:
# Sr2CdIn4Ga3

A geometry-optimized Sr2CdIn4Ga3 structure (PBE-GGA, Alexandria via LeMat-Bulk).

```
Sr2CdIn4Ga3
1.0
4.732 0.000 0.000
0.000 4.732 0.000
0.000 0.000 11.824
Sr Cd In Ga
2 1 4 3
Direct
0.000 0.500 0.249
0.500 0.000 0.751
0.500 0.500 0.000
0.000 0.000 0.500
0.000 0.500 0.863
0.500 0.000 0.137
0.500 0.500 0.500
0.000 0.000 0.000
0.000 0.500 0.636
0.500 0.000 0.364
```

Summary:
Energy relative to the elements (eV per atom): -0.311
Space group: No. 115
Volume (Å³/atom): 26.48
Total DFT energy (no corrections) (eV per cell): -27.4

Entry 6:
# Tb4CdIn2Ga

A geometry-optimized Tb4CdIn2Ga structure (PBE-GGA, Alexandria via LeMat-Bulk).

```
Tb4CdIn2Ga
1.0
2.638 1.523 8.573
-2.638 1.523 8.573
0.000 -3.046 8.573
Tb Cd In Ga
4 1 2 1
Direct
0.120 0.120 0.120
0.371 0.371 0.371
0.629 0.629 0.629
0.880 0.880 0.880
0.500 0.500 0.500
0.245 0.245 0.245
0.755 0.755 0.755
0.000 0.000 0.000
```

Summary:
Energy relative to the elements (eV per atom): -0.466
Space group: No. 166
Volume (Å³/atom): 25.84
Total DFT energy (no corrections) (eV per cell): -31.7

Entry 7:
# Tl2Cd2InGa

A geometry-optimized Tl2Cd2InGa structure (PBE-GGA, Alexandria via LeMat-Bulk).

```
Tl2Cd2InGa
1.0
-2.960 8.392 3.206
2.960 -8.392 3.206
2.960 8.392 -3.206
Tl Cd In Ga
4 4 2 2
Direct
0.184 0.199 0.383
0.316 0.699 0.015
0.684 0.301 0.985
0.816 0.801 0.617
0.127 0.697 0.823
0.373 0.197 0.570
0.627 0.803 0.430
0.873 0.303 0.177
0.250 0.250 0.000
0.750 0.750 0.000
0.250 0.750 0.500
0.750 0.250 0.500
```

Summary:
Energy relative to the elements (eV per atom): 0.059
Space group: No. 72
Volume (Å³/atom): 26.55
Total DFT energy (no corrections) (eV per cell): -23.9

Entry 8:
# TmCdInGa

A geometry-optimized TmCdInGa structure (PBE-GGA, Alexandria via LeMat-Bulk).

```
TmCdInGa
1.0
4.387 0.000 0.000
0.000 4.391 0.000
0.000 0.000 4.587
Tm Cd In Ga
1 1 1 1
Direct
0.000 0.000 0.000
0.500 0.000 0.500
0.000 0.500 0.500
0.500 0.500 0.000
```

Summary:
Energy relative to the elements (eV per atom): -0.361
Space group: No. 47
Volume (Å³/atom): 22.09
Total DFT energy (no corrections) (eV per cell): -12.6